[1]
Compound: ReTeN2O
Source: Alexandria
Functional: PBE
Structure: optimized geometry

electronic total energy	-28.7	eV per formula unit
crystal system	tetragonal

```
5
Lattice="4.116 0.000 0.000 0.000 4.116 0.000 0.000 0.000 3.902" Properties=species:S:1:pos:R:3 pbc="T T T"
Re 0.000 0.000 0.000
Te 2.058 2.058 1.951
N 0.000 2.058 1.951
N 2.058 0.000 1.951
O 2.058 2.058 0.000
```

---

[2]
Compound: La4DyIn3
Source: Alexandria
Functional: PBE
Structure: optimized geometry

formation enthalpy at 0 K	-33	kJ per mole of atoms
crystal system	orthorhombic

```
16
Lattice="11.455 0.000 0.000 0.000 7.121 0.000 0.000 0.000 6.056" Properties=species:S:1:pos:R:3 pbc="T T T"
La 0.000 1.733 0.000
La 0.000 5.388 0.000
La 2.864 1.680 2.178
La 2.864 5.441 2.178
La 5.727 1.733 0.000
La 5.727 5.388 0.000
La 8.591 1.680 3.878
La 8.591 5.441 3.878
Dy 0.000 3.561 3.028
Dy 5.727 3.561 3.028
In 0.000 0.000 3.028
In 2.864 0.000 5.153
In 2.864 3.561 5.088
In 5.727 0.000 3.028
In 8.591 0.000 0.903
In 8.591 3.561 0.969
```

---

[3]
Compound: Li2La2Sn
Source: Alexandria
Functional: PBE
Structure: optimized geometry

formation enthalpy at 0 K	-31	kJ per mole of atoms
crystal system	tetragonal

```
10
Lattice="7.146 0.000 0.000 0.000 7.146 0.000 0.000 0.000 5.028" Properties=species:S:1:pos:R:3 pbc="T T T"
Li 0.960 2.613 0.000
Li 2.613 6.186 0.000
Li 4.533 0.960 0.000
Li 6.186 4.533 0.000
La 1.258 4.831 2.514
La 2.315 1.258 2.514
La 4.831 5.888 2.514
La 5.888 2.315 2.514
Sn 0.000 0.000 0.000
Sn 3.573 3.573 0.000
```

---

[4]
Compound: Sm4Ho5Tm4
Source: Alexandria
Functional: PBE
Structure: optimized geometry

formation enthalpy at 0 K	2	kJ per mole of atoms
crystal system	tetragonal

```
13
Lattice="-6.393 6.393 2.501 6.393 -6.393 2.501 6.393 6.393 -2.501" Properties=species:S:1:pos:R:3 pbc="T T T"
Sm 4.892 0.995 0.000
Sm 5.398 -1.500 2.501
Sm 0.995 7.893 0.000
Sm 1.500 5.398 2.501
Ho 0.000 0.000 0.000
Ho 6.894 3.961 0.000
Ho 3.961 5.892 0.000
Ho 2.432 0.501 2.501
Ho -0.501 2.432 2.501
Tm 9.847 1.963 0.000
Tm 1.963 2.939 0.000
Tm 4.429 3.454 2.501
Tm -3.454 4.429 2.501
```